Cs3CaTc2O8 (PBE, optimized geometry); magnetization = 3.00 μB per formula unit; crystal system = trigonal; formation energy (no corrections) = -1807 meV/atom; mass density = 4.3 g/cm3; SG = P-3m1, No. 164
1.0
6.347 0.000 0.000
-3.173 5.497 0.000
0.000 0.000 8.400
O Cs Tc Ca
8 3 2 1
direct
0.823 0.645 0.666
0.823 0.177 0.666
0.355 0.177 0.666
0.177 0.823 0.334
0.667 0.333 0.957
0.645 0.823 0.334
0.177 0.355 0.334
0.333 0.667 0.043
0.667 0.333 0.309
0.000 0.000 0.000
0.333 0.667 0.691
0.667 0.333 0.746
0.333 0.667 0.254
0.000 0.000 0.500